Ho2UC | PBE-GGA | optimized geometry

The value obtained for the total magnetic moment is 2.7 μB per formula unit. As for the formation energy: 0.24 eV/atom.

The space group is R-3m (No. 166, hexagonal axes) and the conventional cell measures 3.3644, 3.3644 and 28.8906 Å, with angles of 90.00, 90.00 and 120.00 degrees. Symmetry generates all atoms from Ho at (0.0000, 0.0000, 0.1190), U at (0.0000, 0.0000, 0.0000) and C at (0.0000, 0.0000, 0.5000).